## FePbSeBr2 (meta-GGA SCAN)

Data for FePbSeBr2 at its PBEsol-relaxed geometry.

Structure (extended XYZ):
```
5
Lattice="-1.510 -4.028 2.329 4.499 -1.919 -0.402 1.245 2.018 4.297" Properties=species:S:1:pos:R:3 pbc="T T T"
Pb 2.117 -1.965 3.112
Se -0.755 -2.014 1.165
Br 0.622 1.009 2.148
Br 2.249 -0.960 -0.201
Fe 0.000 0.000 0.000
```

Calculated values
The calculation puts the calculated volume at 23.56 Å³ per atom. As for the space group: P4/mmm. As for the formation energy without anion corrections: -6.65 kcal/mol of atoms. The calculation puts the density of states at the Fermi level at 1.49 states/eV per cell. The magnetic moment comes out at 3.675 μB/cell.


## Fe2PtBr (meta-GGA SCAN)

Data for Fe2PtBr at its PBEsol-relaxed geometry.

Structure (extended XYZ):
```
4
Lattice="-2.813 1.934 2.714 -4.260 -0.890 -0.278 -1.952 -2.320 3.134" Properties=species:S:1:pos:R:3 pbc="T T T"
Br -4.513 -0.638 2.785
Fe -6.769 -0.957 4.178
Fe -2.256 -0.319 1.393
Pt 0.000 0.000 0.000
```

Calculated values
The calculation puts the calculated volume at 14.66 Å³ per atom. As for the space group: Fm-3m. As for the formation energy without anion corrections: 11.67 kcal/mol of atoms. The calculation puts the density of states at the Fermi level at 3.56 states/eV per cell. The magnetic moment comes out at 6.601 μB/cell.


Among the records above, which one has the highest calculated volume? FePbSeBr2


What did the second record say?
## Fe2PtBr (meta-GGA SCAN)

Data for Fe2PtBr at its PBEsol-relaxed geometry.

Structure (extended XYZ):
```
4
Lattice="-2.813 1.934 2.714 -4.260 -0.890 -0.278 -1.952 -2.320 3.134" Properties=species:S:1:pos:R:3 pbc="T T T"
Br -4.513 -0.638 2.785
Fe -6.769 -0.957 4.178
Fe -2.256 -0.319 1.393
Pt 0.000 0.000 0.000
```

Calculated values
The calculation puts the calculated volume at 14.66 Å³ per atom. As for the space group: Fm-3m. As for the formation energy without anion corrections: 11.67 kcal/mol of atoms. The calculation puts the density of states at the Fermi level at 3.56 states/eV per cell. The magnetic moment comes out at 6.601 μB/cell.